Record 1
HoCo2Ge3 after structural relaxation, computed with PBE.

Cell and atoms, written as POSCAR:
```
HoCo2Ge3
1.0
-3.7149 -3.4239 -1.7147
4.0061 -4.4903 0.2870
-2.4449 -0.1042 5.5050
Co Ge Ho
4 6 2
Cartesian
-2.9524 -2.7340 3.5557 Co
0.7986 -5.2844 0.5216 Co
2.6561 -3.5725 1.3789 Co
-1.0950 -1.0221 4.4131 Co
1.2909 -4.8663 2.7703 Ge
-0.9380 -3.3509 4.5731 Ge
-1.2158 -4.6675 -0.4958 Ge
0.5810 -5.2992 5.1725 Ge
-3.4447 -3.1521 1.3070 Ge
-2.7348 -2.7193 -1.0953 Ge
-0.3891 -2.4441 1.5734 Ho
-1.7647 -5.5743 2.5039 Ho
```

Summary:
formation enthalpy at 0 K = -370 meV per atom
symmetry = Cmcm
energy above the most stable polymorph in this dataset = 75 meV per atom
calculated volume = 189 Å³ per cell

Record 2
Ho3Co2Ge3 after structural relaxation, computed with PBE.

Cell and atoms, written as POSCAR:
```
Ho3Co2Ge3
1.0
5.6009 0.0000 0.0000
0.0000 7.8054 0.0000
0.0000 0.0000 13.8843
Ge Ho Co
12 12 8
Cartesian
0.7347 1.5280 7.5046 Ge
2.2264 5.1798 3.4711 Ge
3.5352 2.3747 0.5624 Ge
2.0657 5.4307 13.3219 Ge
2.0657 5.4307 7.5046 Ge
5.0269 6.5283 10.4132 Ge
0.7347 1.5280 13.3219 Ge
3.3745 2.6256 10.4132 Ge
4.8662 6.2774 0.5624 Ge
4.8662 6.2774 6.3798 Ge
0.5740 1.2771 3.4711 Ge
3.5352 2.3747 6.3798 Ge
3.5066 0.3223 8.4868 Ho
2.0943 7.4831 1.5446 Ho
2.0943 7.4831 5.3975 Ho
3.5066 0.3223 12.3397 Ho
0.7061 3.5804 1.5446 Ho
0.7061 3.5804 5.3975 Ho
2.0553 5.3496 10.4132 Ho
4.8557 6.3585 3.4711 Ho
4.8948 4.2250 8.4868 Ho
0.7452 1.4469 10.4132 Ho
4.8948 4.2250 12.3397 Ho
3.5456 2.4558 3.4711 Ho
3.4152 4.5741 1.2892 Co
4.9862 0.6714 5.6529 Co
4.9862 0.6714 1.2892 Co
2.1857 3.2313 12.5951 Co
0.6147 7.1340 8.2314 Co
2.1857 3.2313 8.2314 Co
3.4152 4.5741 5.6529 Co
0.6147 7.1340 12.5951 Co
```

Summary:
formation enthalpy at 0 K = -713 meV per atom
symmetry = Pnma
energy above the most stable polymorph in this dataset = 16 meV per atom
calculated volume = 607 Å³ per cell

Record 3
HoCo2Ge after structural relaxation, computed with PBE.

Cell and atoms, written as POSCAR:
```
HoCo2Ge
1.0
3.7795 0.0000 0.0000
0.0000 3.7795 0.0000
0.0000 0.0000 9.1527
Co Ho Ge
4 2 2
Cartesian
1.8897 1.8897 4.5763 Co
0.0000 0.0000 4.5763 Co
1.8897 0.0000 8.4598 Co
0.0000 1.8897 0.6929 Co
1.8897 0.0000 1.9999 Ho
0.0000 1.8897 7.1527 Ho
1.8897 0.0000 5.9620 Ge
0.0000 1.8897 3.1907 Ge
```

Summary:
formation enthalpy at 0 K = -267 meV per atom
symmetry = P4/nmm
calculated volume = 131 Å³ per cell

Record 4
HoCoGe2 after structural relaxation, computed with PBE.

Cell and atoms, written as POSCAR:
```
HoCoGe2
1.0
4.1356 0.0000 0.0000
0.0000 6.7955 0.0000
0.0000 0.0000 10.0210
Co Ho Ge
4 4 8
Cartesian
3.1017 6.7164 3.8142 Co
1.0339 0.0791 6.2068 Co
3.1017 3.3187 1.1963 Co
1.0339 3.4768 8.8247 Co
1.0339 2.2066 3.7318 Ho
3.1017 4.5889 6.2892 Ho
3.1017 1.1911 8.7423 Ho
1.0339 5.6043 1.2787 Ho
3.1017 0.9250 1.7514 Ge
1.0339 2.2169 0.7272 Ge
3.1017 1.1809 5.7377 Ge
1.0339 5.8704 8.2696 Ge
1.0339 5.6146 4.2833 Ge
1.0339 2.4727 6.7619 Ge
3.1017 4.3228 3.2591 Ge
3.1017 4.5786 9.2938 Ge
```

Summary:
formation enthalpy at 0 K = -614 meV per atom
symmetry = Pnma
calculated volume = 282 Å³ per cell

Record 5
HoCoGe2 after structural relaxation, computed with PBE.

Cell and atoms, written as POSCAR:
```
HoCoGe2
1.0
-0.5201 -0.0316 3.9796
-1.7030 -3.1708 1.7762
3.7636 -3.1664 2.4906
Ge Co Ho
2 1 1
Cartesian
0.7143 -4.5711 6.1288 Ge
0.8262 -1.7977 2.1176 Ge
0.7703 -3.1844 4.1232 Co
0.0000 0.0000 0.0000 Ho
```

Summary:
formation enthalpy at 0 K = -579 meV per atom
symmetry = R-3m
calculated volume = 70 Å³ per cell

Record 6
HoCoGe2 after structural relaxation, computed with PBE.

Cell and atoms, written as POSCAR:
```
HoCoGe2
1.0
4.0241 0.0000 -0.9350
-0.9538 7.5442 -4.1051
0.0121 0.0472 9.1796
Ho Ge Co
4 8 4
Cartesian
1.3082 5.5679 -3.4972 Ho
2.1767 5.3555 0.2409 Ho
1.7622 1.9763 -1.5429 Ho
0.9058 2.2359 3.8986 Ho
2.8244 6.9543 3.0286 Ge
2.4703 2.7190 1.5047 Ge
0.2581 0.6371 1.1109 Ge
3.3141 3.2139 5.1364 Ge
0.3062 7.2929 1.3178 Ge
-0.2316 4.3775 -0.9969 Ge
0.6122 4.8725 2.6348 Ge
2.7763 0.2985 2.8217 Ge
0.2132 2.9977 0.9176 Co
3.3468 0.8167 5.2771 Co
2.8693 4.5937 3.2219 Co
-0.2643 6.7747 -1.1376 Co
```

Summary:
formation enthalpy at 0 K = -646 meV per atom
symmetry = Immm
calculated volume = 280 Å³ per cell

Record 7
HoCoGe2Ir after structural relaxation, computed with PBE.

Cell and atoms, written as POSCAR:
```
HoCoGe2Ir
1.0
4.0483 0.0000 0.0000
0.0000 4.0483 0.0000
-2.0242 -2.0242 5.1503
Ir Ge Co Ho
1 2 1 1
Cartesian
0.0000 2.0242 2.5751 Ir
2.0242 2.0242 1.2602 Ge
0.0000 0.0000 3.8900 Ge
2.0242 0.0000 2.5751 Co
0.0000 0.0000 0.0000 Ho
```

Summary:
formation enthalpy at 0 K = -666 meV per atom
symmetry = I-4m2
calculated volume = 84 Å³ per cell

Record 8
Ho2CoGe4Ir3 after structural relaxation, computed with PBE.

Cell and atoms, written as POSCAR:
```
Ho2CoGe4Ir3
1.0
4.1534 0.0000 0.0000
0.0000 4.1534 0.0000
0.0000 0.0000 10.2171
Ho Co Ir Ge
2 1 3 4
Cartesian
2.0767 0.0000 2.5770 Ho
0.0000 2.0767 7.6401 Ho
2.0767 2.0767 5.1086 Co
0.0000 2.0767 1.3688 Ir
0.0000 0.0000 5.1086 Ir
2.0767 0.0000 8.8483 Ir
0.0000 0.0000 0.0000 Ge
2.0767 2.0767 0.0000 Ge
2.0767 0.0000 6.4144 Ge
0.0000 2.0767 3.8027 Ge
```

Summary:
formation enthalpy at 0 K = -683 meV per atom
symmetry = P-4m2
calculated volume = 176 Å³ per cell

Record 9
LiHoCoGe2 after structural relaxation, computed with PBE.

Cell and atoms, written as POSCAR:
```
LiHoCoGe2
1.0
4.0241 0.0000 0.0000
0.0000 4.0241 0.0000
-2.0121 -2.0121 5.1075
Li Ge Co Ho
1 2 1 1
Cartesian
2.0121 0.0000 2.5537 Li
2.0121 2.0121 1.2664 Ge
0.0000 0.0000 3.8410 Ge
0.0000 2.0121 2.5537 Co
0.0000 0.0000 0.0000 Ho
```

Summary:
formation enthalpy at 0 K = -519 meV per atom
symmetry = I-4m2
calculated volume = 83 Å³ per cell

Record 10
HoLuCoGe after structural relaxation, computed with PBE.

Cell and atoms, written as POSCAR:
```
HoLuCoGe
1.0
-2.8744 -3.8667 -0.4235
-0.5663 -2.1326 -4.3040
1.9212 -4.3646 -0.8078
Co Ge Ho Lu
1 1 1 1
Cartesian
-1.1397 -7.7729 -4.1515 Co
-0.3799 -2.5910 -1.3838 Ge
0.0000 0.0000 0.0000 Ho
-0.7598 -5.1820 -2.7677 Lu
```

Summary:
formation enthalpy at 0 K = -419 meV per atom
symmetry = F-43m
calculated volume = 80 Å³ per cell

Record 11
HoCo2GeN after structural relaxation, computed with PBE.

Cell and atoms, written as POSCAR:
```
HoCo2GeN
1.0
-1.1925 1.9826 -2.6860
-4.1892 -0.2790 3.9933
2.5130 5.6145 3.0285
Co N Ho Ge
4 2 2 2
Cartesian
-0.1448 3.3212 2.5157 Co
0.8555 5.5560 3.7211 Co
-2.7238 3.9970 1.8201 Co
-3.7241 1.7622 0.6147 Co
1.2565 2.8073 1.5142 N
0.0000 0.0000 0.0000 N
-0.3324 2.4492 -0.3840 Ho
-2.5362 4.8690 4.7199 Ho
-0.9481 5.5351 2.1671 Ge
-1.9205 1.7830 2.1687 Ge
```

Summary:
symmetry = Cmcm
energy relative to the elements, uncorrected = -0.723 eV per atom
calculated volume = 134 Å³ per cell

Record 12
NdHoCo2Ge2 after structural relaxation, computed with PBE.

Cell and atoms, written as POSCAR:
```
NdHoCo2Ge2
1.0
4.2084 0.0000 0.0000
-2.1042 3.6446 0.0000
0.0000 0.0000 7.3454
Ho Ge Nd Co
1 2 1 2
Cartesian
0.0000 0.0000 3.6727 Ho
0.0000 2.4297 1.9807 Ge
2.1042 1.2149 5.3647 Ge
0.0000 0.0000 0.0000 Nd
0.0000 2.4297 5.2853 Co
2.1042 1.2149 2.0602 Co
```

Summary:
formation enthalpy at 0 K = -574 meV per atom
symmetry = P-3m1
calculated volume = 113 Å³ per cell